# 1
A relaxed CeTmGePd crystal. Source: Alexandria via LeMat-Bulk, functional PBE-GGA.

```
4
Lattice="5.0469 0.0000 0.0000 2.5235 4.3708 0.0000 2.5235 1.4569 4.1208" Properties=species:S:1:pos:R:3 pbc="T T T"
Tm 7.5704 4.3708 3.0906
Ge 0.0000 0.0000 0.0000
Pd 5.0469 2.9139 2.0604
Ce 2.5235 1.4569 1.0302
```

Calculated values
D(E_F)   8.1 states/eV/cell
E_form   -0.6915 eV per atom

---

# 2
A relaxed Ce2YGe2Pd2 crystal. Source: Alexandria via LeMat-Bulk, functional PBE-GGA.

```
7
Lattice="4.3918 0.0000 0.0000 2.1959 3.8034 0.0000 2.1959 1.2678 8.8412" Properties=species:S:1:pos:R:3 pbc="T T T"
Ce 2.1959 1.2678 5.1681
Ce 6.5877 3.8034 3.6731
Ge 6.5877 3.8034 6.9452
Ge 2.1959 1.2678 1.8960
Pd 4.3918 2.5356 6.9490
Y 0.0000 0.0000 0.0000
Pd 4.3918 2.5356 1.8921
```

Calculated values
D(E_F)   8.4 states/eV/cell
E_form   -0.7817 eV per atom

---

# 3
A relaxed CeZnGe2Pd5 crystal. Source: Alexandria via LeMat-Bulk, functional PBE-GGA.

```
9
Lattice="-1.7533 -3.1647 -2.2894 3.0527 -2.6758 1.3609 -5.0367 -2.2221 6.9290" Properties=species:S:1:pos:R:3 pbc="T T T"
Pd -1.8687 -4.0313 3.0003
Zn 0.0000 0.0000 0.0000
Pd -2.2296 -2.1793 0.7166
Ce -2.5184 -1.1110 3.4645
Ge -0.0184 -3.2150 0.4549
Pd -2.1574 -2.9631 5.7482
Pd 0.1734 -1.9348 2.5417
Ge -3.7189 -4.8476 5.5457
Pd -4.5604 -3.2075 3.9230
```

Calculated values
D(E_F)   5.8 states/eV/cell
E_form   -0.4394 eV per atom

---

# 4
A relaxed Ce2ZnGe3Pd4 crystal. Source: Alexandria via LeMat-Bulk, functional PBE-GGA.

```
10
Lattice="-2.7896 1.5884 -2.8925 2.4228 -1.5856 -3.2074 -5.3046 -8.7424 0.3149" Properties=species:S:1:pos:R:3 pbc="T T T"
Ce -2.7286 -1.4040 -1.3670
Ge -2.6523 -4.3712 0.1575
Pd -4.7372 -4.7144 -1.2478
Ge -6.0082 -6.8090 -1.1723
Ge 0.5202 -1.9320 -1.5627
Pd -0.1834 0.0014 -3.0500
Pd -0.7508 -4.0266 -1.4872
Pd 0.0000 0.0000 0.0000
Zn -2.8357 -4.3698 -2.8925
Ce -2.7594 -7.3370 -1.3680
```

Calculated values
D(E_F)   13.2 states/eV/cell
E_form   -0.7519 eV per atom

---

# 5
A relaxed CePmGe crystal. Source: Alexandria via LeMat-Bulk, functional PBE-GGA.

```
6
Lattice="-3.2104 -2.4928 1.8064 0.6364 -0.0632 4.4017 -6.0422 5.7793 3.5453" Properties=species:S:1:pos:R:3 pbc="T T T"
Pm -5.5183 1.7245 6.5648
Ge -4.0235 -1.0952 6.9891
Ce -6.3238 4.5123 5.1489
Ce -2.2923 -1.2890 4.6044
Ge -4.5926 4.3185 2.7643
Pm -3.0979 1.4988 3.1886
```

Calculated values
Excess energy over the best structure of this formula in the dataset   0.206 eV/atom
D(E_F)   11.5 states/eV/cell
E_form   -0.4570 eV per atom

---

# 6
A relaxed CePm2Ge3 crystal. Source: Alexandria via LeMat-Bulk, functional PBE-GGA.

```
6
Lattice="-1.8341 3.8192 0.3680 -4.3980 -2.4320 3.3202 6.4982 0.4202 3.4518" Properties=species:S:1:pos:R:3 pbc="T T T"
Pm 0.0400 -0.4786 5.1661
Ge 2.2920 0.7548 3.5890
Ce -2.1990 -1.2160 1.6601
Ge 0.0000 0.0000 0.0000
Ge -2.0259 1.0526 3.5511
Pm 0.2261 2.2861 1.9740
```

Calculated values
D(E_F)   7.7 states/eV/cell
E_form   -0.6567 eV per atom